# 1
The following is a GGA-PBE calculation of crystalline ScSi2Pb at its relaxed geometry, from Alexandria via LeMat-Bulk.

Unit cell a=6.1857 b=6.1857 c=6.1857 alpha=145.17 beta=139.68 gamma=54.32
With the nearest neighbours (Å) after each atom.
Fractional positions:
Sc (0.0000, 0.0000, 0.0000)  6 Si 2.80-2.83
Si (0.3352, 0.8352, 0.5000)  2 Si 2.50, 2 Sc 2.80
Si (0.4885, 0.4885, 0.0000)  2 Si 2.50
Pb (0.7340, 0.2340, 0.5000)  6 Si 3.04-3.28, 2 Sc 3.34

## Properties
Uncorrected formation energy (eV per formula unit): -0.25
Final energy (Ha/atom): -0.194
Total moment (μB/f.u.): 0.0



# 2
The following is a GGA-PBE calculation of crystalline Cu2HgO at its relaxed geometry, from Alexandria via LeMat-Bulk.

Unit cell a=4.2597 b=4.2597 c=4.2597 alpha=60.00 beta=60.00 gamma=60.00
With the nearest neighbours (Å) after each atom.
Fractional positions:
Cu (0.2500, 0.2500, 0.2500)  4 Hg 2.61, 4 O 2.61
Cu (0.7500, 0.7500, 0.7500)  4 O 2.61, 4 Hg 2.61
Hg (0.0000, 0.0000, 0.0000)  8 Cu 2.61
O (0.5000, 0.5000, 0.5000)  8 Cu 2.61

## Properties
Uncorrected formation energy (eV per formula unit): 1.19
Final energy (Ha/atom): -0.113
Total moment (μB/f.u.): 0.0



# 3
The following is a GGA-PBE calculation of crystalline LaZn3Rh at its relaxed geometry, from Alexandria via LeMat-Bulk.

Unit cell a=5.5544 b=5.5019 c=6.1274 alpha=90.00 beta=92.28 gamma=90.00
With the nearest neighbours (Å) after each atom.
Fractional positions:
La (0.1483, 0.2500, 0.1867)  3 Rh 2.98-3.11, 10 Zn 3.04-3.33
La (0.8517, 0.7500, 0.8133)  3 Rh 2.98-3.11, 10 Zn 3.04-3.33
Zn (0.3318, 0.0126, 0.6643)  5 Zn 2.61-2.89, 2 Rh 2.65-2.70
Zn (0.3318, 0.4874, 0.6643)  5 Zn 2.61-2.89, 2 Rh 2.65-2.70
Zn (0.3802, 0.7500, 0.0473)  1 Rh 2.56, 4 Zn 2.68-2.76
Zn (0.6198, 0.2500, 0.9527)  1 Rh 2.56, 4 Zn 2.68-2.76
Zn (0.6682, 0.5126, 0.3357)  5 Zn 2.61-2.89, 2 Rh 2.65-2.70
Zn (0.6682, 0.9874, 0.3357)  5 Zn 2.61-2.89, 2 Rh 2.65-2.70
Rh (0.0944, 0.7500, 0.3650)  5 Zn 2.56-2.70
Rh (0.9056, 0.2500, 0.6350)  5 Zn 2.56-2.70

## Properties
Final energy (Ha/atom): -0.135
Total moment (μB/f.u.): 0.0
Energy of formation from the pure elements (eV/atom): -0.44



# 4
The following is a GGA-PBE calculation of crystalline PrSBr at its relaxed geometry, from Alexandria via LeMat-Bulk.

Unit cell a=7.1631 b=7.1571 c=7.0566 alpha=90.00 beta=100.22 gamma=90.00
With the nearest neighbours (Å) after each atom.
Fractional positions:
Pr (0.1812, 0.0341, 0.2907)  4 S 2.84-2.86, 3 Br 3.07-3.17
Pr (0.1812, 0.4659, 0.7907)  4 S 2.84-2.86, 3 Br 3.07-3.17
Pr (0.8188, 0.5341, 0.2093)  4 S 2.84-2.86, 3 Br 3.07-3.17
Pr (0.8188, 0.9659, 0.7093)  4 S 2.84-2.86, 3 Br 3.07-3.17
S (0.0496, 0.7420, 0.5088)  4 Pr 2.84-2.86
S (0.0496, 0.7580, 0.0088)  4 Pr 2.84-2.86
S (0.9504, 0.2420, 0.9912)  4 Pr 2.84-2.86
S (0.9504, 0.2580, 0.4912)  4 Pr 2.84-2.86
Br (0.4199, 0.1241, 0.7027)  3 Pr 3.07-3.17
Br (0.4199, 0.3759, 0.2027)  3 Pr 3.07-3.17
Br (0.5801, 0.6241, 0.7973)  3 Pr 3.07-3.17
Br (0.5801, 0.8759, 0.2973)  3 Pr 3.07-3.17

## Properties
Uncorrected formation energy (eV per formula unit): -6.02
Final energy (Ha/atom): -0.203
Total moment (μB/f.u.): 0.0



# 5
The following is a GGA-PBE calculation of crystalline DyY4Tm6 at its relaxed geometry, from Alexandria via LeMat-Bulk.

Unit cell a=8.4783 b=8.4783 c=8.4783 alpha=127.48 beta=127.48 gamma=77.47
With the nearest neighbours (Å) after each atom.
Fractional positions:
Dy (0.0000, 0.0000, 0.0000)  8 Tm 3.46-3.75, 4 Y 3.66
Y (0.2501, 0.2501, 0.6598)  3 Tm 2.98-3.25, 2 Y 3.31
Y (0.4097, 0.7499, 0.0000)  3 Tm 2.98-3.25, 2 Y 3.31
Y (0.5903, 0.5903, 0.3402)  3 Tm 2.98-3.25, 2 Y 3.31
Y (0.7499, 0.4097, 0.0000)  3 Tm 2.98-3.25, 2 Y 3.31
Tm (0.0000, 0.5000, 0.5000)  4 Y 2.98
Tm (0.0553, 0.5837, 0.0000)  4 Y 3.25-3.59, 1 Dy 3.46, 2 Tm 3.57
Tm (0.4163, 0.4163, 0.4716)  4 Y 3.25-3.59, 1 Dy 3.46, 2 Tm 3.57
Tm (0.5000, 0.0000, 0.5000)  4 Y 2.98
Tm (0.5837, 0.0553, 0.0000)  4 Y 3.25-3.59, 1 Dy 3.46, 2 Tm 3.57
Tm (0.9447, 0.9447, 0.5284)  4 Y 3.25-3.59, 1 Dy 3.46, 2 Tm 3.57

## Properties
Final energy (Ha/atom): -0.173
Total moment (μB/f.u.): 0.0
Energy of formation from the pure elements (eV/atom): 0.49



# 6
The following is a GGA-PBE calculation of crystalline CdAsO2 at its relaxed geometry, from Alexandria via LeMat-Bulk.

Unit cell a=6.6401 b=6.6401 c=6.6401 alpha=137.73 beta=137.73 gamma=61.31
With the nearest neighbours (Å) after each atom.
Fractional positions:
Cd (0.0000, 0.0000, 0.0000)  4 O 2.30
Cd (0.7500, 0.2500, 0.5000)  4 O 2.30
As (0.2500, 0.7500, 0.5000)  4 O 2.13
As (0.5000, 0.5000, 0.0000)  4 O 2.13
O (0.1580, 0.6250, 0.0330)  2 As 2.13, 2 Cd 2.30
O (0.3750, 0.4080, 0.5330)  2 As 2.13, 2 Cd 2.30
O (0.5920, 0.1250, 0.9670)  2 As 2.13, 2 Cd 2.30
O (0.8750, 0.8420, 0.4670)  2 As 2.13, 2 Cd 2.30

## Properties
Uncorrected formation energy (eV per formula unit): -2.31
Final energy (Ha/atom): -0.163
Total moment (μB/f.u.): 0.0



# 7
The following is a GGA-PBE calculation of crystalline Nd3Dy2Tl at its relaxed geometry, from Alexandria via LeMat-Bulk.

Unit cell a=8.0805 b=8.0805 c=4.9357 alpha=90.00 beta=90.00 gamma=143.95
With the nearest neighbours (Å) after each atom.
Fractional positions:
Nd (0.0000, 0.0000, 0.0000)  4 Tl 3.51, 4 Dy 3.52, 4 Nd 3.61
Nd (0.3306, 0.6694, 0.0000)  6 Dy 3.51-3.56, 4 Nd 3.52-3.61, 2 Tl 3.59
Nd (0.6694, 0.3306, 0.0000)  6 Dy 3.51-3.56, 4 Nd 3.52-3.61, 2 Tl 3.59
Dy (0.1633, 0.8367, 0.5000)  8 Nd 3.51-3.56, 2 Tl 3.54, 2 Dy 3.66
Dy (0.8367, 0.1633, 0.5000)  8 Nd 3.51-3.56, 2 Tl 3.54, 2 Dy 3.66
Tl (0.5000, 0.5000, 0.5000)  8 Nd 3.51-3.59, 4 Dy 3.54

## Properties
Final energy (Ha/atom): -0.162
Total moment (μB/f.u.): 0.0
Energy of formation from the pure elements (eV/atom): -0.11



# 8
The following is a GGA-PBE calculation of crystalline CsPbO2 at its relaxed geometry, from Alexandria via LeMat-Bulk.

Unit cell a=7.1170 b=7.1170 c=7.1170 alpha=30.43 beta=30.43 gamma=30.43
With the nearest neighbours (Å) after each atom.
Fractional positions:
Cs (0.0000, 0.0000, 0.0000)  6 O 3.09
Pb (0.5000, 0.5000, 0.5000)  6 O 2.46
O (0.2247, 0.2247, 0.2247)  3 Pb 2.46
O (0.7753, 0.7753, 0.7753)  3 Pb 2.46

## Properties
Uncorrected formation energy (eV per formula unit): -4.09
Final energy (Ha/atom): -0.171
Total moment (μB/f.u.): 0.0



# 9
The following is a GGA-PBE calculation of crystalline PmNdSb2 at its relaxed geometry, from Alexandria via LeMat-Bulk.

Unit cell a=5.8358 b=5.8358 c=3.3892 alpha=90.00 beta=90.00 gamma=90.00
With the nearest neighbours (Å) after each atom.
Fractional positions:
Pm (0.0000, 0.0000, 0.0000)  8 Sb 3.37, 2 Pm 3.39
Nd (0.5000, 0.5000, 0.0000)  8 Sb 3.37, 2 Nd 3.39
Sb (0.0000, 0.5000, 0.5000)  4 Nd 3.37, 4 Pm 3.37, 2 Sb 3.39
Sb (0.5000, 0.0000, 0.5000)  4 Nd 3.37, 4 Pm 3.37, 2 Sb 3.39

## Properties
Uncorrected formation energy (eV per formula unit): -3.72
Final energy (Ha/atom): -0.197
Total moment (μB/f.u.): 0.0



# 10
The following is a GGA-PBE calculation of crystalline ErTlInCu at its relaxed geometry, from Alexandria via LeMat-Bulk.

Unit cell a=5.0260 b=5.0260 c=5.0260 alpha=60.00 beta=60.00 gamma=60.00
With the nearest neighbours (Å) after each atom.
Fractional positions:
Er (0.0000, 0.0000, 0.0000)  4 Tl 3.08, 4 Cu 3.08
Tl (0.7500, 0.7500, 0.7500)  4 In 3.08, 4 Er 3.08
In (0.5000, 0.5000, 0.5000)  4 Tl 3.08, 4 Cu 3.08
Cu (0.2500, 0.2500, 0.2500)  4 In 3.08, 4 Er 3.08

## Properties
Final energy (Ha/atom): -0.130
Total moment (μB/f.u.): 0.0
Energy of formation from the pure elements (eV/atom): -0.09



# 11
The following is a GGA-PBE calculation of crystalline La2VP2 at its relaxed geometry, from Alexandria via LeMat-Bulk.

Unit cell a=6.3610 b=6.3610 c=6.3610 alpha=129.26 beta=129.26 gamma=74.59
With the nearest neighbours (Å) after each atom.
Fractional positions:
La (0.1762, 0.1762, 0.0000)  4 P 2.83
La (0.8238, 0.8238, 0.0000)  4 P 2.83
V (0.5000, 0.5000, 0.0000)  2 La 3.28
P (0.2500, 0.7500, 0.5000)  4 La 2.83
P (0.7500, 0.2500, 0.5000)  4 La 2.83

## Properties
Final energy (Ha/atom): -0.222
Total moment (μB/f.u.): 4.1
Energy of formation from the pure elements (eV/atom): -0.07



# 12
The following is a GGA-PBE calculation of crystalline B5C at its relaxed geometry, from Alexandria via LeMat-Bulk.

Unit cell a=5.0152 b=2.7397 c=6.1315 alpha=90.00 beta=99.04 gamma=90.00
With the nearest neighbours (Å) after each atom.
Fractional positions:
B (0.0339, 0.2500, 0.2596)  1 C 1.64, 1 B 1.79
B (0.0860, 0.2500, 0.5551)  5 B 1.70-1.88
B (0.2735, 0.7500, 0.1754)  1 C 1.56
B (0.3339, 0.2500, 0.8197)  2 C 1.59, 1 B 1.69
B (0.4628, 0.2500, 0.5810)  5 B 1.69-1.87
B (0.5372, 0.7500, 0.4190)  5 B 1.69-1.87
B (0.6661, 0.7500, 0.1803)  2 C 1.59, 1 B 1.69
B (0.7265, 0.2500, 0.8246)  1 C 1.56
B (0.9140, 0.7500, 0.4449)  5 B 1.70-1.88
B (0.9661, 0.7500, 0.7404)  1 C 1.64, 1 B 1.79
C (0.2460, 0.7500, 0.9179)  4 B 1.56-1.64
C (0.7540, 0.2500, 0.0821)  4 B 1.56-1.64

## Properties
Final energy (Ha/atom): -0.248
Total moment (μB/f.u.): 0.0
Energy of formation from the pure elements (eV/atom): 0.36